Entry 1:
{"formula": "Y2TaTe", "functional": "SCAN", "state": "single point on PBEsol structure", "e_tot_ev_per_atom": -39.87, "volume_a3_per_cell": 93.5, "n_ef_per_ev_atom": 1.29, "lattice": [[-0.703, 1.933, 3.987], [-0.613, -4.040, 1.851], [5.201, 0.790, -1.990]], "species": ["Ta", "Te", "Y", "Y"], "fractional_positions": [[0.500, 0.500, 0.000], [0.000, 0.000, 0.000], [0.750, 0.250, 0.500], [0.250, 0.750, 0.500]]}

=====

Entry 2:
{"formula": "ScSiOsO2", "functional": "SCAN", "state": "single point on PBEsol structure", "e_tot_ev_per_atom": -22.07, "volume_a3_per_cell": 82.2, "n_ef_per_ev_atom": 1.01, "lattice": [[-2.591, 2.246, -1.493], [-1.505, 0.514, 3.384], [3.517, 4.630, 0.861]], "species": ["Sc", "Si", "Os", "O", "O"], "fractional_positions": [[0.000, 0.000, 0.500], [0.500, 0.500, 0.500], [0.000, 0.000, 0.000], [0.000, 0.500, 0.000], [0.500, 0.000, 0.000]]}

=====

Entry 3:
{"formula": "La2YPb", "functional": "SCAN", "state": "single point on PBEsol structure", "delta_e_f_mev_per_atom": -415, "e_tot_ev_per_atom": -47.87, "volume_a3_per_cell": 121.9, "n_ef_per_ev_atom": 1.16, "lattice": [[3.616, 0.000, 0.007], [0.000, 5.553, 0.000], [-0.008, 0.000, 6.069]], "species": ["La", "La", "Pb", "Y"], "fractional_positions": [[0.874, 0.000, 0.951], [0.876, 0.500, 0.306], [0.375, 0.000, 0.469], [0.375, 0.500, 0.775]]}

=====

Entry 4:
{"formula": "GaP3H", "functional": "SCAN", "state": "single point on PBEsol structure", "e_tot_ev_per_atom": -8.65, "volume_a3_per_cell": 101.0, "n_ef_per_ev_atom": 0.57, "lattice": [[4.657, 0.000, 0.000], [0.000, 4.657, 0.000], [0.000, 0.000, 4.657]], "species": ["P", "P", "P", "Ga", "H"], "fractional_positions": [[0.000, 0.500, 0.000], [0.000, 0.000, 0.500], [0.500, 0.000, 0.000], [0.000, 0.000, 0.000], [0.500, 0.500, 0.500]]}

=====

Entry 5:
{"formula": "CaCrRu2Cl", "functional": "SCAN", "state": "single point on PBEsol structure", "e_tot_ev_per_atom": -19.10, "volume_a3_per_cell": 117.4, "n_ef_per_ev_atom": 1.04, "lattice": [[4.660, 0.000, 0.000], [0.000, 4.660, 0.000], [0.000, 0.000, 5.404]], "species": ["Ru", "Ru", "Ca", "Cl", "Cr"], "fractional_positions": [[0.000, 0.500, 0.000], [0.500, 0.000, 0.000], [0.000, 0.000, 0.000], [0.500, 0.500, 0.500], [0.000, 0.000, 0.500]]}

=====

Entry 6:
{"formula": "AgSe2Cl", "functional": "SCAN", "state": "single point on PBEsol structure", "e_tot_ev_per_atom": -20.02, "polymorph_energy_ev_per_fu": 0.000, "volume_a3_per_cell": 91.7, "n_ef_per_ev_atom": 0.29, "lattice": [[-0.613, -1.231, 3.397], [3.742, -1.095, -1.698], [1.101, 6.203, 2.447]], "species": ["Se", "Se", "Ag", "Cl"], "fractional_positions": [[0.987, 0.975, 0.951], [0.186, 0.372, 0.755], [0.521, 0.042, 0.486], [0.806, 0.612, 0.308]]}